Here is a geometry-optimized MoSe3 structure from the Alexandria database. Energies are from GGA-PBE.

```
MoSe3
1.0
6.321 0.000 0.000
0.000 8.033 0.000
0.000 0.000 6.161
Mo Se
4 12
Direct
0.152 0.250 0.015
0.348 0.750 0.515
0.652 0.250 0.485
0.848 0.750 0.985
0.016 0.250 0.633
0.183 0.576 0.867
0.183 0.924 0.867
0.317 0.076 0.367
0.317 0.424 0.367
0.484 0.750 0.133
0.516 0.250 0.867
0.683 0.576 0.633
0.683 0.924 0.633
0.817 0.076 0.133
0.817 0.424 0.133
0.984 0.750 0.367
```

Computed properties:
- Energy relative to the elements, uncorrected: -0.08 eV per atom
- D(E_F): 2.18 states/eV/f.u.
- Energy: -5.401 eV/atom
- M_tot: 0.0 Bohr magnetons per cell